Record 1
# UPa2NbN6

Crystalline UPa2NbN6 at its relaxed geometry (PBE, Alexandria).

```
UPa2NbN6
1.0
5.8446 0.0000 0.0003
2.9223 5.0616 0.0001
2.9223 1.6874 4.7952
U Pa Nb N
1 2 1 6
direct
0.8097 0.8097 0.5709
0.5286 0.5286 0.4141
0.0336 0.0336 0.8993
0.3134 0.3134 0.0598
0.6030 0.1895 0.2607
0.1895 0.9467 0.2607
0.9467 0.6030 0.2608
0.4320 0.6892 0.7630
0.6893 0.1157 0.7630
0.1157 0.4320 0.7630
```

Summary:
As for the formation energy (no corrections): -12.95 eV/f.u. The space group is R3 (146). The value obtained for the magnetic moment is 1.4 μB/f.u.

Record 2
# NaScF5

Crystalline NaScF5 at its relaxed geometry (PBE, Alexandria).

```
NaScF5
1.0
3.4031 0.3553 1.6921
1.9639 5.5331 1.8463
0.3907 0.1503 6.1405
Na Sc F
1 1 5
direct
0.0000 0.0000 0.0000
0.5000 0.5000 0.5000
0.8752 0.2545 0.2545
0.0000 0.3312 0.6688
0.5000 0.0000 0.0000
0.0000 0.6688 0.3312
0.1248 0.7455 0.7455
```

Summary:
As for the formation energy (no corrections): -19.38 eV/f.u. The space group is C2/m (12). The value obtained for the magnetic moment is 1.0 μB/f.u.

Record 3
# Nb2AgF

Crystalline Nb2AgF at its relaxed geometry (PBE, Alexandria).

```
Nb2AgF
1.0
3.3378 -2.3834 1.8827
0.0710 -4.4940 -0.4063
3.1062 -1.9812 -2.6062
Nb Ag F
2 1 1
direct
0.2500 0.2500 0.2500
0.7500 0.7500 0.7500
0.5000 0.5000 0.5000
0.0000 0.0000 0.0000
```

Summary:
As for the formation energy (no corrections): 0.55 eV/f.u. For the polymorph energy (0 for the lowest one), the calculation gives 0.00 eV/f.u. The space group is Fm-3m (225). The value obtained for the magnetic moment is 0.0 μB/f.u.